Compound: Ta2PtAuO
Source: Alexandria via LeMat-Bulk
Functional: PBE-GGA
Structure: relaxed

Cell and atoms, written as CIF:
```
data_Ta2PtAuO
_chemical_formula_sum 'Ta2 Pt1 Au1 O1'
_cell_length_a 5.0343
_cell_length_b 5.0343
_cell_length_c 3.7550
_cell_angle_alpha 90.00
_cell_angle_beta 90.00
_cell_angle_gamma 90.00
_space_group_name_H-M_alt 'P 4/m m m'
_space_group_IT_number 123
_space_group_name_Hall '-P 4 2'
loop_
_atom_site_label
_atom_site_type_symbol
_atom_site_fract_x
_atom_site_fract_y
_atom_site_fract_z
Ta1 Ta 0.0000 0.5000 0.0000
Pt1 Pt 0.0000 0.0000 0.0000
Au1 Au 0.5000 0.5000 0.5000
O1 O 0.0000 0.0000 0.5000
```

Calculated values
For the volume, the calculation gives 95 Å³/f.u. The value obtained for the magnetic moment is 0.00 μB per cell. For the total energy, the calculation gives -6.736 eV/atom.